1.
{
  "formula": "BiPtSe2",
  "functional": "PBE",
  "state": "relaxed",
  "crystal_system": "trigonal",
  "magmom_total_mub_per_cell": 0.00,
  "formation_energy_uncorrected_mev_per_atom": 278,
  "final_energy_ev_per_atom": -3.944,
  "rho_g_cm3": 9.41,
  "cell": [[1.5378, 0.8879, 12.1052], [-1.5378, 0.8879, 12.1052], [0.0000, -1.7757, 12.1052]],
  "species": ["Bi", "Pt", "Se", "Se"],
  "fractional_positions": [[0.0000, 0.0000, 0.0000], [0.5000, 0.5000, 0.5000], [0.4336, 0.4336, 0.4336], [0.5664, 0.5664, 0.5664]]
}

2.
{
  "formula": "BiPt3Se",
  "functional": "PBE",
  "state": "relaxed",
  "crystal_system": "cubic",
  "magmom_total_mub_per_cell": 0.00,
  "formation_energy_uncorrected_mev_per_atom": 385,
  "final_energy_ev_per_atom": -4.713,
  "rho_g_cm3": 13.27,
  "polymorph_energy_ev_per_atom": 0.0000,
  "cell": [[4.7804, 0.0000, 0.0000], [0.0000, 4.7804, 0.0000], [0.0000, 0.0000, 4.7804]],
  "species": ["Bi", "Pt", "Pt", "Pt", "Se"],
  "fractional_positions": [[0.0000, 0.0000, 0.0000], [0.0000, 0.5000, 0.5000], [0.5000, 0.0000, 0.5000], [0.5000, 0.5000, 0.0000], [0.5000, 0.5000, 0.5000]]
}

3.
{
  "formula": "BiPtSe",
  "functional": "PBE",
  "state": "relaxed",
  "crystal_system": "triclinic",
  "magmom_total_mub_per_cell": 0.00,
  "formation_energy_uncorrected_mev_per_atom": -302,
  "final_energy_ev_per_atom": -4.771,
  "rho_g_cm3": 11.05,
  "cell": [[4.0152, 0.0000, 0.0000], [1.9966, 6.1614, 0.0000], [2.0051, 2.7133, 5.8685]],
  "species": ["Bi", "Bi", "Pt", "Pt", "Se", "Se"],
  "fractional_positions": [[0.1201, 0.0552, 0.2047], [0.8799, 0.9448, 0.7953], [0.2441, 0.2813, 0.7322], [0.7559, 0.7187, 0.2678], [0.3806, 0.4385, 0.2980], [0.6194, 0.5615, 0.7020]]
}

4.
{
  "formula": "BiPt4Se8",
  "functional": "PBE",
  "state": "relaxed",
  "crystal_system": "trigonal",
  "magmom_total_mub_per_cell": 0.00,
  "formation_energy_uncorrected_mev_per_atom": -306,
  "final_energy_ev_per_atom": -4.608,
  "rho_g_cm3": 7.76,
  "cell": [[3.8199, 2.2054, 6.8608], [-3.8199, 2.2054, 6.8608], [0.0000, -4.4108, 6.8608]],
  "species": ["Bi", "Pt", "Pt", "Pt", "Pt", "Se", "Se", "Se", "Se", "Se", "Se", "Se", "Se"],
  "fractional_positions": [[0.0000, 0.0000, 0.0000], [0.0000, 0.0000, 0.5000], [0.0000, 0.5000, 0.0000], [0.5000, 0.0000, 0.0000], [0.5000, 0.5000, 0.5000], [0.2246, 0.7328, 0.7328], [0.2288, 0.2288, 0.2288], [0.2672, 0.2672, 0.7754], [0.2672, 0.7754, 0.2672], [0.7328, 0.2246, 0.7328], [0.7328, 0.7328, 0.2246], [0.7712, 0.7712, 0.7712], [0.7754, 0.2672, 0.2672]]
}

5.
{
  "formula": "BiPtSe3",
  "functional": "PBE",
  "state": "relaxed",
  "crystal_system": "cubic",
  "magmom_total_mub_per_cell": 0.00,
  "formation_energy_uncorrected_mev_per_atom": 182,
  "final_energy_ev_per_atom": -3.893,
  "rho_g_cm3": 8.58,
  "polymorph_energy_ev_per_atom": 0.0000,
  "cell": [[4.9880, 0.0000, 0.0000], [0.0000, 4.9880, 0.0000], [0.0000, 0.0000, 4.9880]],
  "species": ["Bi", "Pt", "Se", "Se", "Se"],
  "fractional_positions": [[0.0000, 0.0000, 0.0000], [0.5000, 0.5000, 0.5000], [0.0000, 0.5000, 0.5000], [0.5000, 0.0000, 0.5000], [0.5000, 0.5000, 0.0000]]
}

6.
{
  "formula": "Sn2BiPtSe",
  "functional": "PBE",
  "state": "relaxed",
  "crystal_system": "tetragonal",
  "magmom_total_mub_per_cell": 0.00,
  "formation_energy_uncorrected_mev_per_atom": 745,
  "final_energy_ev_per_atom": -3.538,
  "rho_g_cm3": 6.78,
  "cell": [[5.9481, 0.0000, 0.0000], [0.0000, 5.9481, 0.0000], [0.0000, 0.0000, 4.9853]],
  "species": ["Sn", "Sn", "Bi", "Pt", "Se"],
  "fractional_positions": [[0.0000, 0.5000, 0.0000], [0.5000, 0.0000, 0.0000], [0.0000, 0.0000, 0.0000], [0.0000, 0.0000, 0.5000], [0.5000, 0.5000, 0.5000]]
}

7.
{
  "formula": "Sn2Bi2PtSe2",
  "functional": "PBE",
  "state": "relaxed",
  "crystal_system": "triclinic",
  "magmom_total_mub_per_cell": 0.00,
  "formation_energy_uncorrected_mev_per_atom": -293,
  "final_energy_ev_per_atom": -4.404,
  "rho_g_cm3": 8.40,
  "cell": [[4.1493, 0.0000, 0.0000], [2.0594, 6.2989, 0.0000], [2.0555, 1.0308, 7.6289]],
  "species": ["Sn", "Sn", "Bi", "Bi", "Pt", "Se", "Se"],
  "fractional_positions": [[0.2429, 0.3603, 0.1546], [0.7571, 0.6397, 0.8454], [0.0570, 0.1187, 0.7664], [0.9430, 0.8813, 0.2336], [0.5000, 0.0000, 0.0000], [0.3323, 0.7304, 0.6030], [0.6677, 0.2696, 0.3970]]
}

8.
{
  "formula": "SiBiPt",
  "functional": "PBE",
  "state": "relaxed",
  "crystal_system": "triclinic",
  "magmom_total_mub_per_cell": 0.00,
  "formation_energy_uncorrected_mev_per_atom": -285,
  "final_energy_ev_per_atom": -5.400,
  "rho_g_cm3": 11.02,
  "polymorph_energy_ev_per_atom": 0.1277,
  "cell": [[4.6312, 0.0000, 0.0000], [0.0067, 4.7415, 0.0000], [2.0822, 1.2402, 5.9291]],
  "species": ["Si", "Si", "Bi", "Bi", "Pt", "Pt"],
  "fractional_positions": [[0.2305, 0.3307, 0.0347], [0.7695, 0.6693, 0.9653], [0.2798, 0.7552, 0.4773], [0.7202, 0.2448, 0.5227], [0.2883, 0.8508, 0.9246], [0.7117, 0.1492, 0.0754]]
}

9.
{
  "formula": "SiBiPt",
  "functional": "PBE",
  "state": "relaxed",
  "crystal_system": "monoclinic",
  "magmom_total_mub_per_cell": 0.00,
  "formation_energy_uncorrected_mev_per_atom": -314,
  "final_energy_ev_per_atom": -5.429,
  "rho_g_cm3": 11.11,
  "polymorph_energy_ev_per_atom": 0.0989,
  "cell": [[4.5475, 0.0000, 0.0000], [0.0000, 4.0904, 0.0000], [-2.0674, 0.0000, 6.9459]],
  "species": ["Si", "Si", "Bi", "Bi", "Pt", "Pt"],
  "fractional_positions": [[0.2139, 0.2500, 0.4731], [0.7861, 0.7500, 0.5269], [0.2923, 0.7500, 0.0796], [0.7077, 0.2500, 0.9204], [0.3444, 0.7500, 0.6693], [0.6556, 0.2500, 0.3307]]
}

10.
{
  "formula": "SiBiPt",
  "functional": "PBE",
  "state": "relaxed",
  "crystal_system": "orthorhombic",
  "magmom_total_mub_per_cell": 0.00,
  "formation_energy_uncorrected_mev_per_atom": -335,
  "final_energy_ev_per_atom": -5.449,
  "rho_g_cm3": 11.04,
  "polymorph_energy_ev_per_atom": 0.0781,
  "cell": [[3.5478, 0.0000, 0.0000], [0.0000, 5.5597, 0.0000], [0.0000, 0.0000, 6.5932]],
  "species": ["Si", "Si", "Bi", "Bi", "Pt", "Pt"],
  "fractional_positions": [[0.0000, 0.0358, 0.0000], [0.5000, 0.9642, 0.5000], [0.0000, 0.4207, 0.2705], [0.5000, 0.5793, 0.7705], [0.0000, 0.1897, 0.6584], [0.5000, 0.8103, 0.1584]]
}

11.
{
  "formula": "SiBiPt",
  "functional": "PBE",
  "state": "relaxed",
  "crystal_system": "monoclinic",
  "magmom_total_mub_per_cell": 0.00,
  "formation_energy_uncorrected_mev_per_atom": -413,
  "final_energy_ev_per_atom": -5.528,
  "rho_g_cm3": 10.75,
  "polymorph_energy_ev_per_atom": 0.0000,
  "cell": [[3.5389, -2.0221, 0.0000], [3.5389, 2.0221, 0.0000], [-2.3259, 0.0000, 9.3241]],
  "species": ["Si", "Si", "Bi", "Bi", "Pt", "Pt"],
  "fractional_positions": [[0.1945, 0.1945, 0.0923], [0.8055, 0.8055, 0.9077], [0.3854, 0.3854, 0.6519], [0.6146, 0.6146, 0.3481], [0.1124, 0.1124, 0.8300], [0.8876, 0.8876, 0.1700]]
}

12.
{
  "formula": "SiBiPt",
  "functional": "PBE",
  "state": "relaxed",
  "crystal_system": "monoclinic",
  "magmom_total_mub_per_cell": 0.00,
  "formation_energy_uncorrected_mev_per_atom": -309,
  "final_energy_ev_per_atom": -5.424,
  "rho_g_cm3": 10.53,
  "polymorph_energy_ev_per_atom": 0.1037,
  "cell": [[3.4289, 0.0000, 0.0000], [0.0000, 4.3894, 0.0000], [-0.0179, 0.0000, 9.0534]],
  "species": ["Si", "Si", "Bi", "Bi", "Pt", "Pt"],
  "fractional_positions": [[0.2502, 0.2500, 0.0346], [0.7498, 0.7500, 0.9654], [0.2511, 0.2500, 0.3655], [0.7489, 0.7500, 0.6345], [0.2508, 0.7500, 0.1488], [0.7492, 0.2500, 0.8512]]
}

13.
{
  "formula": "SiBiPt",
  "functional": "PBE",
  "state": "relaxed",
  "crystal_system": "triclinic",
  "magmom_total_mub_per_cell": 0.00,
  "formation_energy_uncorrected_mev_per_atom": -292,
  "final_energy_ev_per_atom": -5.407,
  "rho_g_cm3": 10.30,
  "polymorph_energy_ev_per_atom": 0.1204,
  "cell": [[4.1513, 0.0000, 0.0000], [-0.0586, 4.1658, 0.0000], [-1.9192, -2.0299, 8.0610]],
  "species": ["Si", "Si", "Bi", "Bi", "Pt", "Pt"],
  "fractional_positions": [[0.0000, 0.0000, 0.0000], [0.4975, 0.5024, 0.0020], [0.3085, 0.2971, 0.5987], [0.7081, 0.6982, 0.4030], [0.5738, 0.0776, 0.1559], [0.9242, 0.4249, 0.8465]]
}